PBE Cs2SrTlF6, relaxed; formation energy without anion corrections = -2772 meV/atom; SG = No. 59
1.0
6.8110 0.0000 0.0000
0.0000 9.6397 0.0000
0.0000 0.0000 6.8226
Cs Sr Tl F
4 2 2 12
Direct
0.2500 0.0001 0.2499
0.2500 0.4999 0.2499
0.7500 0.9999 0.7501
0.7500 0.5001 0.7501
0.2500 0.2500 0.7494
0.7500 0.7500 0.2506
0.2500 0.7500 0.7505
0.7500 0.2500 0.2495
0.0004 0.2500 0.9984
0.9996 0.7500 0.0016
0.0009 0.2500 0.4999
0.2500 0.0007 0.7500
0.2500 0.4993 0.7500
0.4991 0.2500 0.4999
0.4996 0.2500 0.9984
0.5004 0.7500 0.0016
0.5009 0.7500 0.5001
0.7500 0.5007 0.2500
0.7500 0.9993 0.2500
0.9991 0.7500 0.5001

---

PBE SbS2Cl2, relaxed; formation energy without anion corrections = 149 meV/atom; SG = No. 127
1.0
6.9872 0.0000 0.0000
0.0000 6.9872 0.0000
0.0000 0.0000 4.7647
Sb S Cl
2 4 4
Direct
0.0000 0.0000 0.0000
0.5000 0.5000 0.0000
0.0980 0.4020 0.0000
0.4020 0.9020 0.0000
0.5980 0.0980 0.0000
0.9020 0.5980 0.0000
0.2413 0.7413 0.5000
0.2587 0.2413 0.5000
0.7413 0.7587 0.5000
0.7587 0.2587 0.5000

---

PBE BaZrFe2, relaxed; formation enthalpy at 0 K = 427.9 meV/atom; SG = No. 38
1.0
3.8340 0.0000 0.0000
0.0000 2.0178 6.2614
0.0000 -2.0178 6.2614
Ba Zr Fe
1 1 2
Direct
0.0000 0.0000 0.0000
0.5000 0.7305 0.7305
0.0000 0.2798 0.2798
0.5000 0.3530 0.3530

---

PBE Na4Hg6Pb, relaxed; formation enthalpy at 0 K = -150.5 meV/atom; SG = No. 121
1.0
-3.2578 3.2578 7.6853
3.2578 -3.2578 7.6853
3.2578 3.2578 -7.6853
Na Hg Pb
4 6 1
Direct
0.0730 0.5983 0.0000
0.4017 0.4017 0.4747
0.5983 0.0730 0.0000
0.9270 0.9270 0.5253
0.0000 0.5000 0.5000
0.1427 0.1427 0.5559
0.4132 0.8573 0.0000
0.5000 0.0000 0.5000
0.5868 0.5868 0.4441
0.8573 0.4132 0.0000
0.0000 0.0000 0.0000

---

PBE RhWCl2, relaxed; formation energy without anion corrections = 852 meV/atom; SG = No. 119
1.0
-2.2293 2.2293 3.3086
2.2293 -2.2293 3.3086
2.2293 2.2293 -3.3086
Rh W Cl
1 1 2
Direct
0.0000 0.0000 0.0000
0.2500 0.7500 0.5000
0.5000 0.5000 0.0000
0.7500 0.2500 0.5000

---

PBE CrNi2, relaxed; formation enthalpy at 0 K = 95.6 meV/atom; SG = No. 38
1.0
2.4592 0.0000 0.0000
0.0000 6.2180 2.1790
0.0000 -6.2180 2.1790
Cr Ni
2 4
Direct
0.0000 0.1607 0.8393
0.0000 0.8393 0.1607
0.0000 0.6935 0.6935
0.5000 0.1965 0.1965
0.5000 0.3349 0.6736
0.5000 0.6736 0.3349

---

| no. | volume (Å³/cell) | calculated total energy (eV/atom) | N(E_F) (states/eV per cell) |
| --- | --- | --- | --- |
| 1 | 447.95 | -4.47 | 5.828 |
| 2 | 232.61 | -3.06 | 12.259 |
| 3 | 96.88 | -6.42 | 5.240 |
| 4 | 326.27 | -1.13 | 4.101 |
| 5 | 65.77 | -5.15 | 3.785 |
| 6 | 66.64 | -6.97 | 9.190 |